TmAg7F12 | GGA-PBE | optimized geometry

Computed properties:
Symmetry: R-3
Uncorrected energy: -78.94 eV/cell
Formation energy from raw total energies: -1.603 eV per atom

abc: 6.744 7.822 7.822
angles: 67.91 73.30 106.70
Site moments in Bohr magnetons follow the coordinates.
Fractional coordinates of all 20 atoms:
1 F 0.318 0.459 0.349  0.04
2 F 0.323 0.116 0.739  0.01
3 F 0.666 0.349 0.192  0.04
4 F 0.938 0.261 0.856  0.01
5 F 0.793 0.856 0.884  0.01
6 F 0.334 0.651 0.808  0.04
7 F 0.142 0.808 0.541  0.04
8 F 0.207 0.144 0.116  0.01
9 F 0.062 0.739 0.144  0.01
10 F 0.682 0.541 0.651  0.04
11 F 0.677 0.884 0.261  0.01
12 F 0.858 0.192 0.459  0.04
13 Ag 0.678 0.422 0.441  0.08
14 Ag 0.744 0.863 0.578  0.08
15 Ag 0.256 0.137 0.422  0.08
16 Ag 0.881 0.559 0.863  0.08
17 Ag 0.119 0.441 0.137  0.08
18 Ag 0.500 0.000 0.000  0.01
19 Ag 0.322 0.578 0.559  0.08
20 Tm 0.000 0.000 0.000  0.00